A geometry-optimized Li4V3Cr5O16 structure. Source: Alexandria via LeMat-Bulk, functional PBE+U.

Summary:
Calculated volume ... 10.3 A^3/atom
Crystal system ... monoclinic
E_tot ... -7.25 eV/atom

Cell and atoms, written as CIF:
```
data_Li4V3Cr5O16
_cell_length_a 10.129
_cell_length_b 5.943
_cell_length_c 9.564
_cell_angle_alpha 90.00
_cell_angle_beta 90.91
_cell_angle_gamma 90.00
_space_group_name_H-M_alt 'C 1 m 1'
_space_group_IT_number 8
_space_group_name_Hall 'C -2y'
loop_
_atom_site_label
_atom_site_type_symbol
_atom_site_fract_x
_atom_site_fract_y
_atom_site_fract_z
Li1 Li 0.000 0.000 0.000
Li2 Li 0.009 0.000 0.499
Li3 Li 0.166 0.500 0.398
Li4 Li 0.336 0.000 0.896
V1 V 0.089 0.253 0.717
V2 V 0.171 0.000 0.215
Cr1 Cr 0.173 0.500 0.989
Cr2 Cr 0.335 0.500 0.715
Cr3 Cr 0.339 0.000 0.487
Cr4 Cr 0.416 0.247 0.218
O1 O 0.007 0.000 0.815
O2 O 0.009 0.000 0.313
O3 O 0.023 0.500 0.843
O4 O 0.092 0.238 0.109
O5 O 0.166 0.500 0.606
O6 O 0.172 0.000 0.612
O7 O 0.240 0.278 0.842
O8 O 0.256 0.213 0.342
O9 O 0.325 0.000 0.108
O10 O 0.341 0.500 0.101
O11 O 0.430 0.253 0.605
O12 O 0.482 0.000 0.343
```